Record 1
VASP calculation (PBE) on a relaxed structure of CeDy5Ho.

```
CeDy5Ho
1.0
1.3080 -6.2409 -1.1546
6.9328 -6.0633 -8.6799
6.9653 -4.1326 -2.5173
Ce Dy Ho
1 5 1
Cartesian
0.0000 0.0000 0.0000
3.7204 -3.6105 -2.6362
9.8907 -11.1121 -6.7145
0.6540 -3.1204 -0.5773
5.3155 -5.3247 -5.6373
11.4857 -12.8264 -9.7156
7.6031 -8.2184 -6.1759
```

Calculated values
density = 8.22 g/cm3
energy of formation from the pure elements = 1.55 eV/f.u.

Record 2
VASP calculation (PBE) on a relaxed structure of CaInI2.

```
CaInI2
1.0
0.0000 4.0811 4.0811
4.0811 0.0000 4.0811
4.0811 4.0811 0.0000
I Ca In
2 1 1
Cartesian
2.0406 2.0406 2.0406
6.1217 6.1217 6.1217
0.0000 0.0000 0.0000
4.0811 4.0811 4.0811
```

Calculated values
relative energy among the computed polymorphs = 91 meV per atom
uncorrected formation energy = -0.7011 eV/atom
density = 4.99 g/cm3

Record 3
VASP calculation (PBE) on a relaxed structure of RbZrIn3.

```
RbZrIn3
1.0
5.7239 0.0000 0.0000
0.0000 5.7239 0.0000
0.0000 0.0000 5.7239
Rb Zr In
1 1 3
Cartesian
0.0000 0.0000 0.0000
2.8619 2.8619 2.8619
0.0000 2.8619 0.0000
0.0000 0.0000 2.8619
2.8619 0.0000 0.0000
```

Calculated values
relative energy among the computed polymorphs = 1257 meV per atom
density = 4.61 g/cm3
energy of formation from the pure elements = 7.37 eV/f.u.

Record 4
VASP calculation (PBE) on a relaxed structure of Rb4Th3RhSe8.

```
Rb4Th3RhSe8
1.0
-6.3319 2.5431 4.5537
3.1929 -5.1113 7.2942
5.3978 6.0425 -3.2582
Rb Th Rh Se
4 3 1 8
Cartesian
-3.1659 1.2716 2.2769
-0.4670 4.2928 0.6478
0.0000 0.0000 0.0000
2.6989 3.0212 -1.6291
-1.5695 -1.2841 5.9240
1.1294 1.7372 4.2949
4.2954 0.4656 2.0180
1.5964 -2.5557 3.6471
6.0322 2.8192 2.7261
3.5052 0.1690 4.7796
2.1704 2.4939 1.6251
2.5299 4.2258 5.2449
-0.2711 -0.7515 3.3449
0.0885 0.9804 6.9647
-1.2464 3.3053 3.8101
-3.7734 0.6551 5.8636
```

Calculated values
uncorrected formation energy = -1.3085 eV/atom
density = 5.73 g/cm3

Record 5
VASP calculation (PBE) on a relaxed structure of NaGa2AsO6.

```
NaGa2AsO6
1.0
5.8815 -0.0138 -0.0143
1.8993 6.8943 -0.9155
1.8993 -1.1704 6.8557
Na Ga As O
2 4 2 12
Cartesian
3.3697 6.0814 -0.1391
6.3104 -0.3713 6.0649
4.3978 4.2313 3.1373
2.3415 2.7387 1.5883
5.2823 1.4788 2.7885
7.3386 2.9714 4.3375
3.3697 0.3521 5.3817
6.3104 5.3580 0.5441
4.4558 5.7222 4.4451
2.2835 1.4870 0.0499
5.2243 -0.0121 1.4807
7.3965 4.2231 5.8759
5.0291 5.3389 1.6868
1.7102 4.2292 0.5352
4.6510 0.3712 4.2390
7.9699 1.4809 5.3906
2.5234 4.0305 3.2217
4.2159 2.6469 1.7858
7.1566 1.6796 2.7041
5.4642 3.0632 4.1400
```

Calculated values
uncorrected formation energy = -1.6429 eV/atom
density = 4.07 g/cm3

Record 6
VASP calculation (PBE) on a relaxed structure of GaCoSe3.

```
GaCoSe3
1.0
-1.3885 -4.7345 -0.2270
2.5722 -0.9513 4.1078
-3.9813 1.0366 2.7330
Co Ga Se
1 1 3
Cartesian
-1.3988 -2.3246 3.3069
0.0000 0.0000 0.0000
1.2861 -0.4756 2.0539
-1.9907 0.5183 1.3665
-0.6943 -2.3673 -0.1135
```

Calculated values
uncorrected formation energy = 0.7894 eV/atom
density = 5.04 g/cm3

Record 7
VASP calculation (PBE) on a relaxed structure of ZnCd3.

```
ZnCd3
1.0
-0.8211 -5.0539 0.8225
5.1080 -0.8663 -0.2237
0.3554 0.7747 5.1152
Cd Zn
3 1
Cartesian
0.1777 0.3873 2.5576
2.5540 -0.4332 -0.1119
-0.4106 -2.5269 0.4112
0.0000 0.0000 0.0000
```

Calculated values
density = 4.79 g/cm3
energy of formation from the pure elements = 1.22 eV/f.u.

Record 8
VASP calculation (PBE) on a relaxed structure of Sm4TlSb2.

```
Sm4TlSb2
1.0
6.1271 0.0000 -0.0470
0.0000 6.7711 0.0000
-2.3010 0.0000 10.2204
Sm Tl Sb
8 2 4
Cartesian
2.6724 3.4749 2.5766
-1.7757 5.0783 8.6895
5.6018 1.6928 1.4839
2.6724 6.6818 2.5766
3.9821 1.6928 5.4295
1.1537 0.0893 7.5967
1.1537 3.2962 7.5967
-0.1560 5.0783 4.7439
-0.1150 5.0783 1.7527
3.9411 1.6928 8.4206
1.3212 5.0783 10.1582
2.5049 1.6928 0.0151
0.8052 1.6928 4.6230
3.0209 5.0783 5.5503
```

Calculated values
uncorrected formation energy = -0.5841 eV/atom
density = 8.23 g/cm3

Record 9
VASP calculation (PBE) on a relaxed structure of Tm3ZrTl3Te8.

```
Tm3ZrTl3Te8
1.0
-0.2885 -6.7907 5.3200
7.6081 3.0569 -2.6880
-4.7194 5.3393 6.5599
Tm Zr Tl Te
3 1 3 8
Cartesian
-2.5040 -0.7257 5.9399
1.3001 0.8028 4.5959
1.4443 4.1981 1.9360
-2.3597 2.6696 3.2799
0.0000 0.0000 0.0000
3.8040 1.5284 -1.3440
3.6598 -1.8669 1.3160
2.5617 1.3631 1.8787
0.0385 0.2424 7.3132
2.4913 -2.0121 4.5683
0.1088 3.6176 4.6236
-1.4239 -3.5852 5.9519
4.0241 5.1907 3.2400
-1.2754 -0.0903 3.2138
3.8756 1.6959 5.9781
```

Calculated values
uncorrected formation energy = -0.9863 eV/atom
density = 6.92 g/cm3

Record 10
VASP calculation (PBE) on a relaxed structure of BaScPb.

```
BaScPb
1.0
4.9722 0.0000 0.0000
0.0000 4.9722 0.0000
0.0000 0.0000 8.5894
Ba Pb Sc
2 2 2
Cartesian
0.0000 2.4861 7.2572
2.4861 0.0000 1.3321
0.0000 2.4861 2.4811
2.4861 0.0000 6.1083
2.4861 2.4861 4.2947
0.0000 0.0000 4.2947
```

Calculated values
relative energy among the computed polymorphs = 0 meV per atom
density = 6.09 g/cm3
energy of formation from the pure elements = -1.31 eV/f.u.

Record 11
VASP calculation (PBE) on a relaxed structure of TbThOsSe.

```
TbThOsSe
1.0
4.0964 0.0001 -0.0017
-2.0472 3.5472 -0.0001
-2.0504 -1.1837 7.1791
Tb Th Os Se
1 1 1 1
Cartesian
2.4343 0.9230 2.4271
-1.6627 0.9217 6.5143
-1.6615 3.2876 0.8183
0.3865 -0.2599 4.3772
```

Calculated values
uncorrected formation energy = -0.8655 eV/atom
density = 10.51 g/cm3

Record 12
VASP calculation (PBE) on a relaxed structure of TbSm2I.

```
TbSm2I
1.0
-3.3275 0.1613 1.5654
-1.5424 -1.0609 -3.1692
0.8197 -9.2402 2.6942
I Tb Sm
1 1 2
Cartesian
-2.0251 -5.0699 0.5452
-2.4349 -0.4498 -0.8019
0.6090 -6.8649 2.0017
0.2107 -2.3753 0.6926
```

Calculated values
relative energy among the computed polymorphs = 71 meV per atom
uncorrected formation energy = -0.3241 eV/atom
density = 7.44 g/cm3

Record 13
VASP calculation (PBE) on a relaxed structure of Te3Se4.

```
Te3Se4
1.0
1.6047 5.5641 3.4728
-6.1614 -0.6435 -2.6865
-1.5550 -2.0899 4.0669
Te Se
3 4
Cartesian
-3.0807 -0.3218 -1.3432
-2.2784 2.4603 0.3931
0.8023 2.7821 1.7364
-0.4271 -0.5740 1.1170
-1.1279 -1.5159 2.9500
-1.7615 2.4500 3.4532
-4.3502 0.3807 1.4001
```

Calculated values
relative energy among the computed polymorphs = 233 meV per atom
uncorrected formation energy = 0.4006 eV/atom
density = 6.08 g/cm3

Record 14
VASP calculation (PBE) on a relaxed structure of CsInSnBi.

```
CsInSnBi
1.0
4.7830 0.0000 0.0000
0.0000 4.7830 0.0000
0.0000 0.0000 15.0636
Cs In Sn Bi
2 2 2 2
Cartesian
3.5873 3.5873 4.2143
1.1958 1.1958 10.8493
3.5873 1.1958 0.0000
1.1958 3.5873 0.0000
1.1958 3.5873 7.5318
3.5873 1.1958 7.5318
3.5873 3.5873 13.1755
1.1958 1.1958 1.8881
```

Calculated values
density = 5.55 g/cm3
energy of formation from the pure elements = -0.29 eV/f.u.

Record 15
VASP calculation (PBE) on a relaxed structure of AcLa3Nd4.

```
AcLa3Nd4
1.0
-5.5229 2.0078 -4.6033
0.9581 -6.2921 -3.8939
-7.0236 -4.9487 6.2683
Ac Nd La
2 8 6
Cartesian
-1.9817 -4.0966 -5.4547
-5.9791 -3.4225 -0.3789
0.7760 -5.0987 -3.1558
-2.4611 -0.9527 -3.5098
-9.3727 -2.5837 1.0021
-6.0904 -6.7405 1.3781
-5.4989 -6.5713 -2.3268
-8.7369 -2.4195 -2.6772
-2.5864 -4.2717 -1.7491
-5.8531 -0.1038 -2.1391
0.2958 -1.9547 -1.2118
-6.5648 -3.5981 3.3329
-8.8984 -5.7254 -0.9523
-8.2559 -5.5688 -4.6246
-5.3831 -3.2486 -4.0896
-3.0565 -1.1262 0.2019
```

Calculated values
relative energy among the computed polymorphs = 0 meV per atom
density = 6.84 g/cm3
energy of formation from the pure elements = 0.16 eV/f.u.

Record 16
VASP calculation (PBE) on a relaxed structure of Ac6La3Tm2.

```
Ac6La3Tm2
1.0
7.2581 -0.9279 1.5945
-1.8763 7.6370 4.8614
3.6741 9.1818 16.2243
Ac La Tm
6 3 2
Cartesian
3.1265 12.6337 16.9083
6.8330 7.9120 13.7517
5.9294 3.2572 5.7719
2.2229 7.9788 8.9286
7.3666 4.1725 9.0486
1.6893 11.7183 13.6317
0.0000 0.0000 0.0000
5.8080 7.7982 9.9869
3.2479 8.0926 12.6934
2.5120 3.8716 4.8926
6.5439 12.0193 17.7876
```

Calculated values
density = 7.67 g/cm3
energy of formation from the pure elements = 1.81 eV/f.u.

Record 17
VASP calculation (PBE) on a relaxed structure of YAl2As.

```
YAl2As
1.0
4.7938 0.0000 0.0000
0.0000 4.0085 0.0432
0.0000 0.5569 4.5938
Y As Al
1 1 2
Cartesian
2.3969 3.4240 3.4778
2.3969 1.1413 1.1593
0.0000 0.3005 0.1402
0.0000 1.9822 2.1784
```

Calculated values
density = 4.10 g/cm3
energy of formation from the pure elements = -1.26 eV/f.u.

Record 18
VASP calculation (PBE) on a relaxed structure of U2SbAs3.

```
U2SbAs3
1.0
-3.5739 1.7472 0.7151
-1.2331 -3.3197 1.9483
2.9269 3.0804 7.1013
U Sb As
2 1 3
Cartesian
0.2753 3.0440 5.3610
0.2481 -0.7498 3.0720
-2.4035 -0.7863 1.3317
-0.7449 1.9703 2.8858
1.2683 0.3239 5.5472
0.0000 0.0000 0.0000
```

Calculated values
uncorrected formation energy = -0.5922 eV/atom
density = 10.10 g/cm3

Record 19
VASP calculation (PBE) on a relaxed structure of AgPd2Rh.

```
AgPd2Rh
1.0
2.7939 0.0005 -0.0011
1.3974 2.4193 -0.0011
1.3940 0.8048 9.2289
Ag Pd Rh
1 2 1
Cartesian
2.7917 1.6118 4.6189
1.3928 0.8041 7.0082
1.3994 0.8079 2.2199
4.1880 2.4179 9.2220
```

Calculated values
relative energy among the computed polymorphs = 5 meV per atom
density = 11.28 g/cm3
energy of formation from the pure elements = 0.25 eV/f.u.

Record 20
VASP calculation (PBE) on a relaxed structure of ReSbSe.

```
ReSbSe
1.0
3.2769 0.0000 0.0000
-1.6385 2.8379 0.0000
0.0000 0.0000 7.5548
Re Sb Se
1 1 1
Cartesian
0.0000 0.0000 7.3980
1.6385 0.9460 1.9307
0.0000 1.8919 5.7809
```

Calculated values
relative energy among the computed polymorphs = 0 meV per atom
uncorrected formation energy = 0.1160 eV/atom
density = 9.15 g/cm3

Number 1: energy -4.567 eV/atom. Number 2: energy -2.661 eV/atom. Number 3: energy -2.071 eV/atom. Number 4: energy -5.143 eV/atom. Number 5: energy -5.820 eV/atom. Number 6: energy -3.328 eV/atom. Number 7: energy -0.701 eV/atom. Number 8: energy -4.797 eV/atom. Number 9: energy -4.599 eV/atom. Number 10: energy -4.425 eV/atom. Number 11: energy -7.557 eV/atom. Number 12: energy -4.229 eV/atom. Number 13: energy -2.937 eV/atom. Number 14: energy -2.941 eV/atom. Number 15: energy -4.725 eV/atom. Number 16: energy -4.233 eV/atom. Number 17: energy -4.966 eV/atom. Number 18: energy -7.367 eV/atom. Number 19: energy -5.084 eV/atom. Number 20: energy -6.569 eV/atom.